First-principles (GGA-PBEsol) data for a relaxed structure of LaMgP2, as listed in Alexandria.

Unit cell a=3.1377 b=3.7171 c=7.2457 alpha=90.00 beta=102.84 gamma=90.00
With the nearest neighbours (Å) after each atom.
Element x y z (fractional)
Mg 0.0000 0.5000 0.5000  4 P 2.65
La 0.5000 0.5000 0.0000  8 P 3.02-3.11, 2 La 3.14
P 0.1619 0.0000 0.2638  2 Mg 2.65
P 0.8381 0.0000 0.7362  2 Mg 2.65

Summary:
formation enthalpy at 0 K	-0.67	eV per atom
calculated volume	20.60	Å³/atom
crystal system	monoclinic